Entry 1:
VASP calculation (GGA-PBEsol) on MgZnNi2Au after structural relaxation.

Lattice parameters (Å, degrees): 4.6523 4.6523 4.7543 90.00 90.00 90.00
Last column: nearest neighbours and their distance in Å.
Fractional coordinates of all 5 atoms:
Mg  0.0000  0.0000  0.0000  2 Au 2.38
Zn  0.5000  0.5000  0.0000  4 Mg 3.29, 8 Ni 3.33
Ni  0.0000  0.5000  0.5000  2 Au 2.33
Ni  0.5000  0.0000  0.5000  2 Au 2.33
Au  0.0000  0.0000  0.5000  4 Ni 2.33, 2 Mg 2.38

Computed properties:
size of the total moment	0.7	Bohr magnetons per cell
E_tot	-3.002	eV per atom
formation energy from the elements	4.53	eV/f.u.
space group	P4/mmm

=====

Entry 2:
VASP calculation (GGA-PBEsol) on Li2Cu2S3 after structural relaxation.

Lattice parameters (Å, degrees): 8.7046 8.7046 6.4450 108.10 108.10 87.84
Last column: nearest neighbours and their distance in Å.
Fractional coordinates of all 28 atoms:
Li  0.0677  0.9323  0.7500  6 S 2.56-2.78
Li  0.2153  0.7847  0.2500  6 S 2.53-2.74, 2 Cu 2.77
Li  0.2904  0.4530  0.8983  4 S 2.43-2.57
Li  0.4530  0.2904  0.3983  4 S 2.43-2.57
Li  0.5470  0.7096  0.6017  4 S 2.43-2.57
Li  0.7096  0.5470  0.1017  4 S 2.43-2.57
Li  0.7847  0.2153  0.7500  6 S 2.53-2.74, 2 Cu 2.77
Li  0.9323  0.0677  0.2500  6 S 2.56-2.78
Cu  0.0706  0.5845  0.4054  4 S 2.24-2.29
Cu  0.1173  0.2788  0.1005  4 S 2.23-2.30
Cu  0.2788  0.1173  0.6005  4 S 2.23-2.30
Cu  0.4155  0.9294  0.0946  4 S 2.24-2.29
Cu  0.5845  0.0706  0.9054  4 S 2.24-2.29
Cu  0.7212  0.8827  0.3995  4 S 2.23-2.30
Cu  0.8827  0.7212  0.8995  4 S 2.23-2.30
Cu  0.9294  0.4155  0.5946  4 S 2.24-2.29
S  0.0697  0.2201  0.7202  3 Cu 2.24-2.26
S  0.0971  0.6464  0.7825  3 Cu 2.23-2.29, 1 Li 2.45
S  0.2201  0.0697  0.2202  3 Cu 2.24-2.26
S  0.2881  0.5087  0.2912  2 Cu 2.24-2.30, 2 Li 2.43-2.48
S  0.3536  0.9029  0.7175  3 Cu 2.23-2.29, 1 Li 2.45
S  0.4913  0.7119  0.2088  2 Cu 2.24-2.30, 2 Li 2.43-2.48
S  0.5087  0.2881  0.7912  2 Cu 2.24-2.30, 2 Li 2.43-2.48
S  0.6464  0.0971  0.2825  3 Cu 2.23-2.29, 1 Li 2.45
S  0.7119  0.4913  0.7088  2 Cu 2.24-2.30, 2 Li 2.43-2.48
S  0.7799  0.9303  0.7798  3 Cu 2.24-2.26
S  0.9029  0.3536  0.2175  3 Cu 2.23-2.29, 1 Li 2.45
S  0.9303  0.7799  0.2798  3 Cu 2.24-2.26

Computed properties:
size of the total moment	0.0	Bohr magnetons per cell
formation energy without anion corrections	-0.633	eV/atom
E_tot	-4.312	eV per atom
space group	C2/c

=====

Entry 3:
VASP calculation (GGA-PBEsol) on AgSn2Cl2 after structural relaxation.

Lattice parameters (Å, degrees): 4.2998 4.2998 13.3532 90.00 90.00 90.00
Last column: nearest neighbours and their distance in Å.
Fractional coordinates of all 10 atoms:
Ag  0.0000  0.0000  0.0000  8 Sn 3.37
Ag  0.5000  0.5000  0.5000  8 Sn 3.37
Sn  0.0000  0.0000  0.3907  4 Cl 2.85, 1 Sn 2.92
Sn  0.0000  0.0000  0.6093  4 Cl 2.85, 1 Sn 2.92
Sn  0.5000  0.5000  0.1093  4 Cl 2.85, 1 Sn 2.92
Sn  0.5000  0.5000  0.8907  4 Cl 2.85, 1 Sn 2.92
Cl  0.0000  0.5000  0.2500  4 Sn 2.85, 4 Cl 3.04
Cl  0.0000  0.5000  0.7500  4 Sn 2.85, 4 Cl 3.04
Cl  0.5000  0.0000  0.2500  4 Sn 2.85, 4 Cl 3.04
Cl  0.5000  0.0000  0.7500  4 Sn 2.85, 4 Cl 3.04

Computed properties:
size of the total moment	0.0	Bohr magnetons per cell
formation energy without anion corrections	-0.095	eV/atom
E_tot	-3.264	eV per atom
space group	I4/mmm